{
  "formula": "Tb2BiO4F",
  "functional": "GGA-PBE",
  "state": "optimized geometry",
  "cell": [[-1.518, -2.953, -0.786], [3.804, -3.119, -3.035], [3.886, -4.833, 3.249]],
  "species": ["Tb", "Tb", "Bi", "O", "O", "O", "O", "F"],
  "fractional_positions": [[0.807, 0.688, 0.697], [0.193, 0.312, 0.303], [0.000, 0.000, 0.000], [0.183, 0.967, 0.668], [0.362, 0.342, 0.933], [0.817, 0.033, 0.332], [0.638, 0.658, 0.067], [0.500, 0.500, 0.500]],
  "sg": "C2/m",
  "dft_energy_ev_per_cell": -57.25
}